No. 1
This record from the Alexandria database describes a relaxed Ti2AgBiN crystal. The functional is GGA-PBE.

Its spin magnetization is 2.89 μB/cell. Its crystal system is tetragonal. The density of states at the Fermi level comes out at 5.748 states/eV/f.u. The value obtained for the formation energy without anion corrections is 1906 meV per atom. The space group is No. 123.

a = 5.3722 Å, b = 5.2503 Å, c = 5.3722 Å
α = 90.00°, β = 90.00°, γ = 90.00°
With the nearest neighbours (Å) after each atom.
Positions (direct):
Ti 0.0000 0.0000 0.5000  2 Bi 2.69
Bi 0.0000 0.0000 0.0000  2 Ag 2.63, 4 Ti 2.69
Ag 0.0000 0.5000 0.0000  2 Bi 2.63
Ti 0.5000 0.0000 0.0000  2 Bi 2.69
N 0.5000 0.5000 0.5000  8 Ti 3.76, 4 Ag 3.80

---

No. 2
This record from the Alexandria database describes a relaxed UAgBi2N crystal. The functional is GGA-PBE.

Its spin magnetization is 2.63 μB/cell. Its crystal system is tetragonal. The density of states at the Fermi level comes out at 6.213 states/eV/f.u. The value obtained for the formation energy without anion corrections is -426 meV per atom. The space group is No. 129.

a = 3.9654 Å, b = 3.9654 Å, c = 15.6672 Å
α = 90.00°, β = 90.00°, γ = 90.00°
With the nearest neighbours (Å) after each atom.
Positions (direct):
U 0.5000 0.0000 0.5700  4 N 2.27
Bi 0.5000 0.0000 0.3075  1 Ag 2.81
Bi 0.5000 0.0000 0.9334  5 Ag 2.97-3.05
Bi 0.0000 0.5000 0.0666  5 Ag 2.97-3.05
N 0.5000 0.5000 0.5000  4 U 2.27
N 0.0000 0.0000 0.5000  4 U 2.27
U 0.0000 0.5000 0.4300  4 N 2.27
Ag 0.0000 0.5000 0.8718  6 Bi 2.81-3.05
Ag 0.5000 0.0000 0.1282  6 Bi 2.81-3.05
Bi 0.0000 0.5000 0.6925  1 Ag 2.81

---

No. 3
This record from the Alexandria database describes a relaxed Zn2AgBiN crystal. The functional is GGA-PBE.

Its spin magnetization is 0.00 μB/cell. Its crystal system is tetragonal. The density of states at the Fermi level comes out at 1.527 states/eV/f.u. The value obtained for the formation energy without anion corrections is 417 meV per atom. The space group is No. 123.

a = 4.1456 Å, b = 5.1939 Å, c = 4.1456 Å
α = 90.00°, β = 90.00°, γ = 90.00°
With the nearest neighbours (Å) after each atom.
Positions (direct):
N 0.0000 0.0000 0.0000  4 Zn 2.07
Zn 0.0000 0.0000 0.5000  2 N 2.07
Bi 0.5000 0.5000 0.5000  4 Ag 2.93
Zn 0.5000 0.0000 0.0000  2 N 2.07
Ag 0.0000 0.5000 0.0000  2 N 2.60

---

No. 4
This record from the Alexandria database describes a relaxed Na3AgBi4 crystal. The functional is GGA-PBE.

Its spin magnetization is 0.00 μB/cell. Its crystal system is orthorhombic. The density of states at the Fermi level comes out at 3.068 states/eV/f.u. Its total energy is -2.888 eV/atom. The space group is No. 71.

a = 5.2722 Å, b = 6.9744 Å, c = 8.1093 Å
α = 115.47°, β = 108.97°, γ = 90.00°
With the nearest neighbours (Å) after each atom.
Positions (direct):
Ag 0.5000 0.0000 0.0000  4 Bi 3.00, 4 Na 3.10
Bi 0.3308 0.1043 0.6616  1 Ag 3.00, 1 Bi 3.16, 3 Na 3.28-3.32
Bi 0.3308 0.5572 0.6616  1 Ag 3.00, 1 Bi 3.16, 3 Na 3.28-3.32
Bi 0.6692 0.4428 0.3384  1 Ag 3.00, 1 Bi 3.16, 3 Na 3.28-3.32
Na 0.1201 0.1201 0.2401  2 Ag 3.10, 1 Na 3.28, 6 Bi 3.28-3.32
Na 0.0000 0.5000 0.0000  8 Bi 3.85, 4 Na 3.85
Na 0.8799 0.8799 0.7599  2 Ag 3.10, 1 Na 3.28, 6 Bi 3.28-3.32
Bi 0.6692 0.8957 0.3384  1 Ag 3.00, 1 Bi 3.16, 3 Na 3.28-3.32

---

No. 5
This record from the Alexandria database describes a relaxed Na4AgBi5 crystal. The functional is GGA-PBE.

Its spin magnetization is 0.00 μB/cell. Its crystal system is tetragonal. The density of states at the Fermi level comes out at 3.159 states/eV/f.u. Its total energy is -2.962 eV/atom. The space group is No. 123.

a = 3.4603 Å, b = 3.4603 Å, c = 23.7018 Å
α = 90.00°, β = 90.00°, γ = 90.00°
With the nearest neighbours (Å) after each atom.
Positions (direct):
Na 0.0000 0.0000 0.8056  8 Bi 3.41-3.55, 4 Na 3.46
Na 0.0000 0.0000 0.1944  8 Bi 3.41-3.55, 4 Na 3.46
Bi 0.5000 0.5000 0.9142  4 Ag 3.18, 4 Bi 3.46, 4 Na 3.55
Bi 0.5000 0.5000 0.5000  8 Na 3.45, 4 Bi 3.46
Na 0.0000 0.0000 0.3973  8 Bi 3.45, 4 Na 3.46
Bi 0.5000 0.5000 0.2945  8 Na 3.41-3.45, 4 Bi 3.46
Na 0.0000 0.0000 0.6027  8 Bi 3.45, 4 Na 3.46
Ag 0.0000 0.0000 0.0000  8 Bi 3.18, 4 Ag 3.46
Bi 0.5000 0.5000 0.0858  4 Ag 3.18, 4 Bi 3.46, 4 Na 3.55
Bi 0.5000 0.5000 0.7055  8 Na 3.41-3.45, 4 Bi 3.46

---

No. 6
This record from the Alexandria database describes a relaxed Na2Ag2Bi crystal. The functional is GGA-PBE.

Its spin magnetization is 0.00 μB/cell. Its crystal system is monoclinic. The density of states at the Fermi level comes out at 1.967 states/eV/f.u. Its total energy is -2.520 eV/atom. The space group is No. 12.

a = 5.2236 Å, b = 6.1107 Å, c = 9.3906 Å
α = 95.02°, β = 73.85°, γ = 64.70°
With the nearest neighbours (Å) after each atom.
Positions (direct):
Bi 0.2120 0.8867 0.6893  5 Ag 2.93-3.25, 2 Na 3.25
Na 0.7223 0.7061 0.8493  4 Ag 3.00-3.10, 2 Bi 3.25
Ag 0.1196 0.7425 0.0182  2 Bi 2.93-3.25, 1 Ag 2.94, 4 Na 3.00-3.19
Na 0.5080 0.7029 0.2812  4 Ag 3.10-3.33, 3 Bi 3.33-3.43
Bi 0.7880 0.1133 0.3107  5 Ag 2.93-3.25, 2 Na 3.25
Ag 0.8624 0.7600 0.5153  1 Ag 2.82, 3 Bi 2.99-3.04, 2 Na 3.10
Ag 0.1376 0.2400 0.4847  1 Ag 2.82, 3 Bi 2.99-3.04, 2 Na 3.10
Na 0.2777 0.2939 0.1507  4 Ag 3.00-3.10, 2 Bi 3.25
Na 0.4920 0.2971 0.7188  4 Ag 3.10-3.33, 3 Bi 3.33-3.43
Ag 0.8804 0.2575 0.9818  2 Bi 2.93-3.25, 1 Ag 2.94, 4 Na 3.00-3.19

---

No. 7
This record from the Alexandria database describes a relaxed NaAg8Bi3 crystal. The functional is GGA-PBE.

Its spin magnetization is 0.00 μB/cell. Its crystal system is trigonal. The density of states at the Fermi level comes out at 4.129 states/eV/f.u. Its total energy is -2.990 eV/atom. The space group is No. 160.

a = 5.6897 Å, b = 5.6897 Å, c = 9.9362 Å
α = 73.36°, β = 73.36°, γ = 60.00°
With the nearest neighbours (Å) after each atom.
Positions (direct):
Ag 0.4388 0.9374 0.6864  6 Ag 2.84-2.88
Ag 0.9374 0.9374 0.6864  6 Ag 2.84-2.88
Bi 0.3743 0.3743 0.8772  12 Ag 3.33-3.36, 4 Bi 3.47-3.51
Ag 0.9378 0.4367 0.1889  6 Ag 2.84-2.87
Na 0.8755 0.8755 0.3735  12 Ag 3.33-3.36, 4 Bi 3.50-3.54
Ag 0.4367 0.9378 0.1889  6 Ag 2.84-2.87
Ag 0.6872 0.6872 0.9385  6 Ag 2.87-2.88
Ag 0.1878 0.1878 0.4366  6 Ag 2.84-2.86
Bi 0.4991 0.4991 0.5026  12 Ag 3.33-3.37, 3 Na 3.50, 1 Bi 3.51
Ag 0.4367 0.4367 0.1889  6 Ag 2.84-2.87
Bi 0.0014 0.0014 0.9957  12 Ag 3.33-3.37, 3 Bi 3.47, 1 Na 3.54
Ag 0.9374 0.4388 0.6864  6 Ag 2.84-2.88

---

No. 8
This record from the Alexandria database describes a relaxed NaAg3Bi crystal. The functional is GGA-PBE.

Its spin magnetization is 0.00 μB/cell. Its crystal system is cubic. The density of states at the Fermi level comes out at 2.401 states/eV/f.u. Its total energy is -2.428 eV/atom. The space group is No. 221.

a = 5.5023 Å, b = 5.5023 Å, c = 5.5023 Å
α = 90.00°, β = 90.00°, γ = 90.00°
With the nearest neighbours (Å) after each atom.
Positions (direct):
Ag 0.0000 0.5000 0.0000  2 Bi 2.75
Ag 0.0000 0.0000 0.5000  2 Bi 2.75
Ag 0.5000 0.0000 0.0000  2 Bi 2.75
Bi 0.0000 0.0000 0.0000  6 Ag 2.75
Na 0.5000 0.5000 0.5000  12 Ag 3.89

---

No. 9
This record from the Alexandria database describes a relaxed Na2AgBi2 crystal. The functional is GGA-PBE.

Its spin magnetization is 0.00 μB/cell. Its crystal system is monoclinic. The density of states at the Fermi level comes out at 1.445 states/eV/f.u. Its total energy is -2.802 eV/atom. The space group is No. 15.

a = 6.6422 Å, b = 6.6422 Å, c = 7.6946 Å
α = 75.53°, β = 75.53°, γ = 68.72°
With the nearest neighbours (Å) after each atom.
Positions (direct):
Na 0.2565 0.4290 0.6219  3 Ag 3.29-3.68, 5 Bi 3.34-3.48, 1 Na 3.63
Bi 0.7308 0.0460 0.4603  2 Ag 2.86-3.15
Bi 0.9540 0.2692 0.0397  2 Ag 2.86-3.15
Na 0.7435 0.5710 0.3781  3 Ag 3.29-3.68, 5 Bi 3.34-3.48, 1 Na 3.63
Bi 0.2692 0.9540 0.5397  2 Ag 2.86-3.15
Na 0.5710 0.7435 0.8781  3 Ag 3.29-3.68, 5 Bi 3.34-3.48, 1 Na 3.63
Bi 0.0460 0.7308 0.9603  2 Ag 2.86-3.15
Ag 0.1958 0.8042 0.2500  4 Bi 2.86-3.15
Ag 0.8042 0.1958 0.7500  4 Bi 2.86-3.15
Na 0.4290 0.2565 0.1219  3 Ag 3.29-3.68, 5 Bi 3.34-3.48, 1 Na 3.63

---

No. 10
This record from the Alexandria database describes a relaxed NaAg3Bi crystal. The functional is GGA-PBE.

Its spin magnetization is 0.00 μB/cell. Its crystal system is monoclinic. The density of states at the Fermi level comes out at 1.612 states/eV/f.u. Its total energy is -2.744 eV/atom. The space group is No. 14.

a = 7.6737 Å, b = 8.0506 Å, c = 7.5082 Å
α = 103.50°, β = 90.00°, γ = 90.00°
With the nearest neighbours (Å) after each atom.
Positions (direct):
Ag 0.4456 0.1515 0.8401  2 Ag 2.79-3.03, 2 Na 2.96-3.01, 4 Bi 2.99-3.12
Bi 0.2918 0.9190 0.4838  6 Ag 2.99-3.17, 1 Na 3.31
Na 0.9164 0.7530 0.2558  4 Ag 2.87-3.01
Ag 0.3216 0.5460 0.0048  6 Ag 2.83-3.03, 1 Bi 3.17
Ag 0.0213 0.4026 0.1415  6 Ag 2.79-3.01, 2 Na 2.87-2.99, 1 Bi 3.09
Na 0.4164 0.2470 0.2442  4 Ag 2.87-3.01
Ag 0.0544 0.1515 0.3401  2 Ag 2.79-3.03, 2 Na 2.96-3.01, 4 Bi 2.99-3.12
Na 0.5836 0.7530 0.7558  4 Ag 2.87-3.01
Bi 0.7918 0.0810 0.0162  6 Ag 2.99-3.17, 1 Na 3.31
Ag 0.9456 0.8485 0.6599  2 Ag 2.79-3.03, 2 Na 2.96-3.01, 4 Bi 2.99-3.12
Ag 0.5544 0.8485 0.1599  2 Ag 2.79-3.03, 2 Na 2.96-3.01, 4 Bi 2.99-3.12
Ag 0.1784 0.5460 0.5048  6 Ag 2.83-3.03, 1 Bi 3.17
Ag 0.6784 0.4540 0.9952  6 Ag 2.83-3.03, 1 Bi 3.17
Ag 0.5213 0.5974 0.3585  6 Ag 2.79-3.01, 2 Na 2.87-2.99, 1 Bi 3.09
Na 0.0836 0.2470 0.7442  4 Ag 2.87-3.01
Bi 0.7082 0.0810 0.5162  6 Ag 2.99-3.17, 1 Na 3.31
Ag 0.8216 0.4540 0.4952  6 Ag 2.83-3.03, 1 Bi 3.17
Ag 0.4787 0.4026 0.6415  6 Ag 2.79-3.01, 2 Na 2.87-2.99, 1 Bi 3.09
Ag 0.9787 0.5974 0.8585  6 Ag 2.79-3.01, 2 Na 2.87-2.99, 1 Bi 3.09
Bi 0.2082 0.9190 0.9838  6 Ag 2.99-3.17, 1 Na 3.31

---

No. 11
This record from the Alexandria database describes a relaxed NaAgBi2 crystal. The functional is GGA-PBE.

Its spin magnetization is 0.00 μB/cell. Its crystal system is cubic. The density of states at the Fermi level comes out at 1.720 states/eV/f.u. Its total energy is -3.029 eV/atom. The space group is No. 225.

a = 5.2937 Å, b = 5.2937 Å, c = 5.2937 Å
α = 60.00°, β = 60.00°, γ = 60.00°
With the nearest neighbours (Å) after each atom.
Positions (direct):
Ag 0.5000 0.5000 0.5000  8 Bi 3.24
Na 0.0000 0.0000 0.0000  8 Bi 3.24
Bi 0.7500 0.7500 0.7500  4 Ag 3.24, 4 Na 3.24
Bi 0.2500 0.2500 0.2500  4 Ag 3.24, 4 Na 3.24

---

No. 12
This record from the Alexandria database describes a relaxed Na2Ag2Bi crystal. The functional is GGA-PBE.

Its spin magnetization is 0.00 μB/cell. Its crystal system is tetragonal. The density of states at the Fermi level comes out at 1.858 states/eV/f.u. Its total energy is -2.513 eV/atom. The space group is No. 127.

a = 7.7948 Å, b = 7.7948 Å, c = 4.1177 Å
α = 90.00°, β = 90.00°, γ = 90.00°
With the nearest neighbours (Å) after each atom.
Positions (direct):
Na 0.3290 0.1710 0.5000  6 Ag 3.03-3.13
Na 0.1710 0.6710 0.5000  6 Ag 3.03-3.13
Bi 0.0000 0.0000 0.0000  4 Ag 3.07
Na 0.6710 0.8290 0.5000  6 Ag 3.03-3.13
Ag 0.8725 0.6275 0.0000  1 Ag 2.81, 6 Na 3.03-3.13, 2 Bi 3.07
Ag 0.6275 0.1275 0.0000  1 Ag 2.81, 6 Na 3.03-3.13, 2 Bi 3.07
Ag 0.1275 0.3725 0.0000  1 Ag 2.81, 6 Na 3.03-3.13, 2 Bi 3.07
Ag 0.3725 0.8725 0.0000  1 Ag 2.81, 6 Na 3.03-3.13, 2 Bi 3.07
Bi 0.5000 0.5000 0.0000  4 Ag 3.07
Na 0.8290 0.3290 0.5000  6 Ag 3.03-3.13